VASP calculation (PBE) on a geometry-optimized ZrNbIr2 structure.

Cell and atoms, written as POSCAR:
```
ZrNbIr2
1.0
0.000 3.230 3.230
3.230 0.000 3.230
3.230 3.230 0.000
Zr Nb Ir
1 1 2
Cartesian
0.000 0.000 0.000 Zr
4.844 4.844 4.844 Nb
1.615 1.615 1.615 Ir
3.230 3.230 3.230 Ir
```

Output
density: 14.01 g cm⁻³
calculated formation energy: -0.32 eV per atom
space-group type: No. 216